Li2La2Sb after structural relaxation, computed with PBE.

POSCAR file:
```
Li2La2Sb
1.0
7.142 0.000 0.000
0.000 7.142 0.000
0.000 0.000 4.984
Li La Sb
4 4 2
Cartesian
0.967 2.603 0.000 Li
2.603 6.174 0.000 Li
4.538 0.967 0.000 Li
6.174 4.538 0.000 Li
1.217 4.787 2.492 La
2.354 1.217 2.492 La
4.787 5.925 2.492 La
5.925 2.354 2.492 La
0.000 0.000 0.000 Sb
3.571 3.571 0.000 Sb
```

Magnetization, μB per formula unit: 0.0
DOS at the Fermi energy, states/eV per cell: 10.0
Formation energy without anion corrections, eV/atom: -0.432

Ca2Mo2Ru after structural relaxation, computed with PBE.

POSCAR file:
```
Ca2Mo2Ru
1.0
-1.740 1.740 9.689
1.740 -1.740 9.689
1.740 1.740 -9.689
Ca Mo Ru
2 2 1
Cartesian
0.000 0.000 1.772 Ca
0.000 0.000 17.605 Ca
1.740 0.000 4.844 Mo
0.000 1.740 4.844 Mo
0.000 0.000 9.689 Ru
```

Relative energy among the computed polymorphs, meV per atom: 0
Energy relative to the elements, eV/f.u.: 3.699
Magnetization, μB per formula unit: 0.0
DOS at the Fermi energy, states/eV per cell: 8.6

CeEr2PuO8 after structural relaxation, computed with PBE.

POSCAR file:
```
CeEr2PuO8
1.0
3.799 0.000 0.000
0.000 7.522 0.000
-0.011 0.000 5.332
Ce Er Pu O
1 2 1 8
Cartesian
0.000 0.000 0.000 Ce
1.894 1.886 2.666 Er
1.894 5.637 2.666 Er
0.000 3.761 0.000 Pu
-0.005 2.019 4.036 O
-0.005 5.503 4.036 O
1.893 3.761 1.238 O
1.896 0.000 1.339 O
1.892 0.000 3.994 O
1.895 3.761 4.094 O
3.793 2.019 1.297 O
3.793 5.503 1.297 O
```

Magnetization, μB per formula unit: 2.0
DOS at the Fermi energy, states/eV per cell: 6.8
Formation energy without anion corrections, eV/atom: -3.216

BaNb3Ni after structural relaxation, computed with PBE.

POSCAR file:
```
BaNb3Ni
1.0
4.865 0.000 0.000
0.000 4.865 0.000
0.000 0.000 4.865
Ba Nb Ni
1 3 1
Cartesian
0.000 0.000 0.000 Ba
0.000 2.432 2.432 Nb
2.432 0.000 2.432 Nb
2.432 2.432 0.000 Nb
2.432 2.432 2.432 Ni
```

Relative energy among the computed polymorphs, meV per atom: 0
Energy relative to the elements, eV/f.u.: 4.981
Magnetization, μB per formula unit: 0.0
DOS at the Fermi energy, states/eV per cell: 9.6

BaMoSe2 after structural relaxation, computed with PBE.

POSCAR file:
```
BaMoSe2
1.0
6.438 -2.115 0.000
6.438 2.115 0.000
-0.285 0.000 4.895
Ba Mo Se
1 1 2
Cartesian
0.000 0.000 0.000 Ba
3.485 0.000 1.545 Mo
5.824 0.000 2.452 Se
9.281 0.000 0.264 Se
```

Relative energy among the computed polymorphs, meV per atom: 263
Magnetization, μB per formula unit: 4.0
DOS at the Fermi energy, states/eV per cell: 1.3
Formation energy without anion corrections, eV/atom: -0.497

SnSbOs after structural relaxation, computed with PBE.

POSCAR file:
```
SnSbOs
1.0
0.000 3.212 3.212
3.212 0.000 3.212
3.212 3.212 0.000
Sn Sb Os
1 1 1
Cartesian
0.000 0.000 0.000 Sn
3.212 3.212 3.212 Sb
1.606 1.606 1.606 Os
```

Magnetization, μB per formula unit: 0.0
DOS at the Fermi energy, states/eV per cell: 1.8
Formation energy without anion corrections, eV/atom: 0.177

BaPtBr2 after structural relaxation, computed with PBE.

POSCAR file:
```
BaPtBr2
1.0
4.450 0.000 0.000
0.000 2.251 6.294
0.000 -2.251 6.294
Ba Pt Br
1 1 2
Cartesian
0.000 0.000 0.000 Ba
2.225 0.000 7.438 Pt
0.000 0.000 8.880 Br
2.225 0.000 4.934 Br
```

Relative energy among the computed polymorphs, meV per atom: 0
Magnetization, μB per formula unit: 0.0
Formation energy without anion corrections, eV/atom: -1.049

HoPd after structural relaxation, computed with PBE.

POSCAR file:
```
HoPd
1.0
6.883 0.000 0.000
0.000 4.625 0.000
0.000 0.000 5.540
Ho Pd
4 4
Cartesian
1.258 1.156 0.793 Ho
2.184 3.469 3.563 Ho
4.700 1.156 1.977 Ho
5.626 3.469 4.746 Ho
0.286 1.156 3.625 Pd
3.155 3.469 0.855 Pd
3.728 1.156 4.684 Pd
6.597 3.469 1.914 Pd
```

Energy relative to the elements, eV/f.u.: -1.877
Magnetization, μB per formula unit: 0.0
DOS at the Fermi energy, states/eV per cell: 3.6

AcErN2 after structural relaxation, computed with PBE.

POSCAR file:
```
AcErN2
1.0
1.827 1.055 6.061
-1.827 1.055 6.061
0.000 -2.109 6.061
Ac Er N
1 1 2
Cartesian
0.000 0.000 0.000 Ac
0.000 0.000 9.092 Er
0.000 0.000 4.387 N
0.000 0.000 13.797 N
```

Relative energy among the computed polymorphs, meV per atom: 0
Magnetization, μB per formula unit: 0.0
DOS at the Fermi energy, states/eV per cell: 0.2
Formation energy without anion corrections, eV/atom: -1.302

Rb2Pu3Se6 after structural relaxation, computed with PBE.

POSCAR file:
```
Rb2Pu3Se6
1.0
3.674 -6.388 0.000
3.674 6.388 0.000
-2.448 0.000 8.111
Rb Pu Se
2 3 6
Cartesian
3.674 4.263 0.000 Rb
3.674 -4.263 0.000 Rb
-1.224 0.000 4.055 Pu
2.450 2.123 4.055 Pu
2.450 -2.123 4.055 Pu
0.008 2.162 5.588 Se
1.249 0.000 2.517 Se
0.008 -2.162 5.588 Se
4.892 2.162 2.522 Se
3.650 0.000 5.594 Se
4.892 -2.162 2.522 Se
```

Magnetization, μB per formula unit: 4.4
DOS at the Fermi energy, states/eV per cell: 32.7
Formation energy without anion corrections, eV/atom: -1.389

CaHo5Tl3 after structural relaxation, computed with PBE.

POSCAR file:
```
CaHo5Tl3
1.0
9.330 0.000 0.000
-4.665 8.080 0.000
0.000 0.000 6.766
Ca Ho Tl
2 10 6
Cartesian
0.000 0.000 0.000 Ca
0.000 0.000 3.383 Ca
-1.570 2.720 1.692 Ho
-3.094 5.360 5.075 Ho
0.000 5.386 0.000 Ho
0.000 5.386 3.383 Ho
3.141 0.000 1.692 Ho
1.570 2.720 5.075 Ho
6.189 0.000 5.075 Ho
3.094 5.360 1.692 Ho
4.665 2.693 0.000 Ho
4.665 2.693 3.383 Ho
-1.547 2.679 5.075 Tl
-3.118 5.401 1.692 Tl
3.093 0.000 5.075 Tl
1.547 2.679 1.692 Tl
6.236 0.000 1.692 Tl
3.118 5.401 5.075 Tl
```

Energy relative to the elements, eV/f.u.: -2.477
Magnetization, μB per formula unit: 0.0
DOS at the Fermi energy, states/eV per cell: 15.0

TlTeP2 after structural relaxation, computed with PBE.

POSCAR file:
```
TlTeP2
1.0
-1.792 2.922 4.704
1.792 -2.922 4.704
1.792 2.922 -4.704
Tl Te P
1 1 2
Cartesian
0.000 0.000 0.000 Tl
0.000 0.000 4.704 Te
1.792 0.000 2.723 P
0.000 2.922 1.981 P
```

Relative energy among the computed polymorphs, meV per atom: 540
Magnetization, μB per formula unit: 0.0
DOS at the Fermi energy, states/eV per cell: 2.5
Formation energy without anion corrections, eV/atom: 0.566

Q: Among the records above, which one has the highest magnetization?
A: Rb2Pu3Se6